{"formula": "TaIrCl3", "functional": "PBEsol", "state": "relaxed", "dos_ef_per_ev_cell": 8.30, "total_energy_ev_per_atom": -4.883, "formation_energy_uncorrected_mev_per_atom": 797, "m_tot_mub_per_cell": 2.60, "e_above_lowest_polymorph_ev_per_atom": 0.000, "cell": [[-1.860, -0.497, -4.330], [4.106, -1.779, -1.559], [-1.462, -4.364, 1.129]], "species": ["Ir", "Cl", "Cl", "Cl", "Ta"], "fractional_positions": [[0.500, 0.500, 0.500], [0.500, 0.000, 0.000], [0.000, 0.000, 0.500], [0.000, 0.500, 0.000], [0.000, 0.000, 0.000]]}

---

{"formula": "TaIrCl2", "functional": "PBEsol", "state": "relaxed", "dos_ef_per_ev_cell": 3.64, "total_energy_ev_per_atom": -6.275, "formation_energy_uncorrected_mev_per_atom": 322, "m_tot_mub_per_cell": 0.00, "e_above_lowest_polymorph_ev_per_atom": 0.451, "cell": [[-3.490, 1.658, -0.913], [0.339, -1.498, -3.661], [-2.023, -3.559, 1.270]], "species": ["Cl", "Ir", "Ta", "Cl"], "fractional_positions": [[0.763, 0.237, 0.000], [0.500, 0.500, 0.500], [0.000, 0.000, 0.500], [0.237, 0.763, 0.000]]}

---

{"formula": "Ta2IrCl", "functional": "PBEsol", "state": "relaxed", "dos_ef_per_ev_cell": 3.89, "total_energy_ev_per_atom": -8.910, "formation_energy_uncorrected_mev_per_atom": 323, "m_tot_mub_per_cell": 0.00, "e_above_lowest_polymorph_ev_per_atom": 0.467, "cell": [[-1.997, 1.462, 1.638], [-4.639, -0.951, -2.120], [-3.208, -3.573, 1.966]], "species": ["Ir", "Ta", "Cl", "Ta"], "fractional_positions": [[0.000, 0.500, 0.500], [0.771, 0.229, 0.229], [0.500, 0.000, 0.000], [0.229, 0.771, 0.771]]}

---

{"formula": "TaIrCl2", "functional": "PBEsol", "state": "relaxed", "dos_ef_per_ev_cell": 4.83, "total_energy_ev_per_atom": -5.708, "formation_energy_uncorrected_mev_per_atom": 890, "m_tot_mub_per_cell": 0.00, "e_above_lowest_polymorph_ev_per_atom": 1.019, "cell": [[-2.726, 0.337, 0.930], [-1.608, -2.203, -3.919], [0.735, -3.315, 3.357]], "species": ["Cl", "Ir", "Cl", "Ta"], "fractional_positions": [[0.000, 0.000, 0.500], [0.500, 0.000, 0.000], [0.000, 0.500, 0.000], [0.500, 0.500, 0.500]]}

---

{"formula": "Ta2IrCl", "functional": "PBEsol", "state": "relaxed", "dos_ef_per_ev_cell": 3.32, "total_energy_ev_per_atom": -9.355, "formation_energy_uncorrected_mev_per_atom": -122, "m_tot_mub_per_cell": 0.00, "e_above_lowest_polymorph_ev_per_atom": 0.022, "cell": [[-1.642, 1.851, 1.370], [-3.243, -0.250, -3.548], [-2.201, -3.630, 2.267]], "species": ["Ir", "Ta", "Cl", "Ta"], "fractional_positions": [[0.748, 0.000, 0.000], [0.248, 0.500, 0.000], [0.248, 0.500, 0.500], [0.248, 0.000, 0.500]]}

---

{"formula": "Ta2IrCl", "functional": "PBEsol", "state": "relaxed", "dos_ef_per_ev_cell": 2.66, "total_energy_ev_per_atom": -9.377, "formation_energy_uncorrected_mev_per_atom": -143, "m_tot_mub_per_cell": 0.00, "e_above_lowest_polymorph_ev_per_atom": 0.000, "cell": [[-2.402, -1.436, 0.705], [-0.613, -2.508, -1.290], [3.385, -5.594, 6.040]], "species": ["Ta", "Cl", "Ir", "Ta"], "fractional_positions": [[0.752, 0.752, 0.745], [0.500, 0.500, 0.500], [0.000, 0.000, 0.000], [0.248, 0.248, 0.255]]}

---

{"formula": "TaIrCl2", "functional": "PBEsol", "state": "relaxed", "dos_ef_per_ev_cell": 2.58, "total_energy_ev_per_atom": -6.263, "formation_energy_uncorrected_mev_per_atom": 335, "m_tot_mub_per_cell": 0.00, "e_above_lowest_polymorph_ev_per_atom": 0.464, "cell": [[-1.106, 0.616, -2.556], [0.195, -4.168, -1.089], [-4.748, -0.714, 1.882]], "species": ["Cl", "Ir", "Cl", "Ta"], "fractional_positions": [[0.000, 0.000, 0.000], [0.500, 0.500, 0.000], [0.500, 0.000, 0.500], [0.000, 0.500, 0.500]]}

---

{"formula": "TcIrCl2", "functional": "PBEsol", "state": "relaxed", "dos_ef_per_ev_cell": 2.98, "total_energy_ev_per_atom": -5.839, "formation_energy_uncorrected_mev_per_atom": 437, "m_tot_mub_per_cell": 0.00, "e_above_lowest_polymorph_ev_per_atom": 0.443, "cell": [[-0.877, 1.578, -2.297], [-2.613, -0.504, -1.206], [-4.544, 5.820, 3.875]], "species": ["Cl", "Cl", "Ir", "Tc"], "fractional_positions": [[0.093, 0.093, 0.720], [0.907, 0.907, 0.280], [0.000, 0.000, 0.000], [0.500, 0.500, 0.500]]}

---

{"formula": "TcIr4Cl", "functional": "PBEsol", "state": "relaxed", "dos_ef_per_ev_cell": 9.52, "total_energy_ev_per_atom": -7.686, "formation_energy_uncorrected_mev_per_atom": 1076, "m_tot_mub_per_cell": 0.02, "cell": [[5.122, 0.000, 0.000], [2.561, 4.435, 0.000], [2.561, 1.478, 4.182]], "species": ["Ir", "Ir", "Cl", "Tc", "Ir", "Ir"], "fractional_positions": [[0.874, 0.375, 0.375], [0.375, 0.874, 0.375], [0.000, 0.000, 0.000], [0.750, 0.750, 0.750], [0.375, 0.375, 0.874], [0.375, 0.375, 0.375]]}

---

{"formula": "TcIr2Cl", "functional": "PBEsol", "state": "relaxed", "dos_ef_per_ev_cell": 4.03, "total_energy_ev_per_atom": -7.345, "formation_energy_uncorrected_mev_per_atom": 885, "m_tot_mub_per_cell": 0.00, "e_above_lowest_polymorph_ev_per_atom": 0.331, "cell": [[2.716, 0.000, 0.000], [0.000, 4.781, 0.009], [0.000, -1.771, 4.441]], "species": ["Ir", "Tc", "Cl", "Ir"], "fractional_positions": [[0.000, 0.500, 0.000], [0.500, 0.000, 0.000], [0.500, 0.500, 0.500], [0.000, 0.000, 0.500]]}

---

{"formula": "TcIrCl2", "functional": "PBEsol", "state": "relaxed", "dos_ef_per_ev_cell": 2.19, "total_energy_ev_per_atom": -6.282, "formation_energy_uncorrected_mev_per_atom": -6, "m_tot_mub_per_cell": 0.00, "e_above_lowest_polymorph_ev_per_atom": 0.000, "cell": [[3.529, 0.000, 0.000], [-1.765, 3.055, 0.099], [0.000, -0.257, 8.101]], "species": ["Cl", "Cl", "Tc", "Ir"], "fractional_positions": [[0.041, 0.083, 0.916], [0.376, 0.751, 0.297], [0.708, 0.416, 0.718], [0.375, 0.750, 0.570]]}

---

{"formula": "Tc2IrCl", "functional": "PBEsol", "state": "relaxed", "dos_ef_per_ev_cell": 5.39, "total_energy_ev_per_atom": -7.736, "formation_energy_uncorrected_mev_per_atom": 855, "m_tot_mub_per_cell": 0.00, "e_above_lowest_polymorph_ev_per_atom": 0.324, "cell": [[2.755, 0.106, 0.179], [-0.204, 4.784, 0.138], [-0.204, -2.184, 4.259]], "species": ["Cl", "Tc", "Ir", "Tc"], "fractional_positions": [[0.500, 0.500, 0.500], [0.000, 0.000, 0.500], [0.500, 0.000, 0.000], [0.000, 0.500, 0.000]]}

---

{"formula": "Tc2IrCl", "functional": "PBEsol", "state": "relaxed", "dos_ef_per_ev_cell": 4.93, "total_energy_ev_per_atom": -7.977, "formation_energy_uncorrected_mev_per_atom": 614, "m_tot_mub_per_cell": 0.00, "e_above_lowest_polymorph_ev_per_atom": 0.084, "cell": [[-1.966, 1.697, -0.955], [-0.477, -2.608, -3.654], [-3.141, -2.431, 2.145]], "species": ["Tc", "Cl", "Ir", "Tc"], "fractional_positions": [[0.000, 0.000, 0.500], [0.500, 0.500, 0.500], [0.500, 0.000, 0.000], [0.000, 0.500, 0.000]]}

---

{"formula": "Tc2IrCl", "functional": "PBEsol", "state": "relaxed", "dos_ef_per_ev_cell": 4.88, "total_energy_ev_per_atom": -8.061, "formation_energy_uncorrected_mev_per_atom": 530, "m_tot_mub_per_cell": 0.00, "e_above_lowest_polymorph_ev_per_atom": 0.000, "cell": [[2.760, 0.000, 0.000], [-1.380, 2.401, 0.000], [0.000, 0.000, 8.968]], "species": ["Cl", "Tc", "Ir", "Tc"], "fractional_positions": [[0.000, 0.000, 0.479], [0.500, 0.000, 0.253], [0.500, 0.000, 0.762], [0.000, 0.000, 0.006]]}

---

{"formula": "TcIr2Cl", "functional": "PBEsol", "state": "relaxed", "dos_ef_per_ev_cell": 7.20, "total_energy_ev_per_atom": -7.384, "formation_energy_uncorrected_mev_per_atom": 847, "m_tot_mub_per_cell": 0.03, "e_above_lowest_polymorph_ev_per_atom": 0.293, "cell": [[4.338, 0.000, 0.000], [2.169, 3.757, 0.000], [2.169, 1.252, 3.542]], "species": ["Ir", "Ir", "Cl", "Tc"], "fractional_positions": [[0.750, 0.750, 0.750], [0.000, 0.000, 0.000], [0.500, 0.500, 0.500], [0.250, 0.250, 0.250]]}